Ba3Sn7Pt2: relaxed, GGA-PBE.

CIF file:
```
data_Ba3Sn7Pt2
_space_group_name_H-M_alt 'P 1 2/m 1'
_space_group_IT_number 10
_space_group_name_Hall '-P 2y'
_cell_length_a 4.8480
_cell_length_b 4.9270
_cell_length_c 14.8826
_cell_angle_alpha 90.00
_cell_angle_beta 99.30
_cell_angle_gamma 90.00
loop_
_atom_site_label
_atom_site_fract_x
_atom_site_fract_y
_atom_site_fract_z
Ba1 0.0000 0.0000 0.0000
Ba2 0.3188 0.5000 0.6369
Sn1 0.0864 0.5000 0.1724
Sn2 0.2211 0.0000 0.4419
Sn3 0.4149 0.0000 0.8269
Sn4 0.5000 0.5000 0.0000
Pt1 0.1272 0.0000 0.2592
```

Formation enthalpy at 0 K in eV per formula unit: -7.51
Magnetic moment in μB per formula unit: 0.00

=====

Ba3SnPt: relaxed, GGA-PBE.

CIF file:
```
data_Ba3SnPt
_space_group_name_H-M_alt 'P m -3 m'
_space_group_IT_number 221
_space_group_name_Hall '-P 4 2 3'
_cell_length_a 6.0682
_cell_length_b 6.0682
_cell_length_c 6.0682
_cell_angle_alpha 90.00
_cell_angle_beta 90.00
_cell_angle_gamma 90.00
loop_
_atom_site_label
_atom_site_fract_x
_atom_site_fract_y
_atom_site_fract_z
Ba1 0.0000 0.0000 0.5000
Sn1 0.5000 0.5000 0.5000
Pt1 0.0000 0.0000 0.0000
```

Formation enthalpy at 0 K in eV per formula unit: -2.53
Magnetic moment in μB per formula unit: 0.00
Polymorph energy (0 for the lowest one) in meV per atom: 61.8